# 1
In2Pd6Pt (GGA-PBE, optimized geometry); total energy = -4.8987 eV/atom; E_form = -0.157 eV per atom; total moment = 0.000 μB/f.u.; polymorph energy (0 for the lowest one) = 1.630 eV/f.u.
1.0
4.820 -2.681 0.000
4.820 2.681 0.000
-2.003 0.000 6.096
In Pd Pt
2 6 1
Direct
0.154 0.154 0.146
0.846 0.846 0.854
0.158 0.671 0.286
0.303 0.303 0.588
0.329 0.842 0.714
0.671 0.158 0.286
0.697 0.697 0.412
0.842 0.329 0.714
0.500 0.500 0.000


# 2
In2PdPt9 (GGA-PBE, optimized geometry); total energy = -5.6688 eV/atom; E_form = -0.249 eV per atom; total moment = 0.001 μB/f.u.
1.0
4.026 0.000 0.000
0.000 4.026 0.000
0.000 0.000 12.026
In Pd Pt
2 1 9
Direct
0.000 0.000 0.170
0.000 0.000 0.830
0.000 0.000 0.500
0.000 0.500 0.000
0.000 0.500 0.337
0.000 0.500 0.663
0.500 0.000 0.000
0.500 0.000 0.337
0.500 0.000 0.663
0.500 0.500 0.169
0.500 0.500 0.500
0.500 0.500 0.831


# 3
InPd8Pt6 (GGA-PBE, optimized geometry); total energy = -5.2642 eV/atom; E_form = 0.104 eV per atom; total moment = 0.000 μB/f.u.; polymorph energy (0 for the lowest one) = 1.077 eV/f.u.
1.0
3.711 2.142 5.396
-3.711 2.142 5.396
0.000 -4.285 5.396
In Pd Pt
1 8 6
Direct
0.000 0.000 0.000
0.136 0.436 0.817
0.183 0.864 0.564
0.256 0.256 0.256
0.436 0.817 0.136
0.564 0.183 0.864
0.744 0.744 0.744
0.817 0.136 0.436
0.864 0.564 0.183
0.092 0.660 0.369
0.340 0.631 0.908
0.369 0.092 0.660
0.631 0.908 0.340
0.660 0.369 0.092
0.908 0.340 0.631


# 4
InPd2Pt (GGA-PBE, optimized geometry); total energy = -5.1717 eV/atom; E_form = -0.380 eV per atom; total moment = 0.000 μB/f.u.
1.0
6.429 0.000 0.000
0.000 6.429 0.000
0.000 0.000 6.429
In Pd Pt
4 8 4
Direct
0.000 0.000 0.000
0.000 0.500 0.500
0.500 0.000 0.500
0.500 0.500 0.000
0.000 0.000 0.500
0.000 0.500 0.000
0.250 0.250 0.250
0.250 0.750 0.750
0.500 0.000 0.000
0.500 0.500 0.500
0.750 0.250 0.750
0.750 0.750 0.250
0.250 0.250 0.750
0.250 0.750 0.250
0.750 0.250 0.250
0.750 0.750 0.750


# 5
InPd3Pt2 (GGA-PBE, optimized geometry); total energy = -5.3506 eV/atom; E_form = -0.284 eV per atom; total moment = 0.000 μB/f.u.; polymorph energy (0 for the lowest one) = 0.000 eV/f.u.
1.0
5.672 0.000 0.000
0.000 4.020 0.000
-0.189 0.000 8.489
In Pd Pt
2 6 4
Direct
0.130 0.250 0.248
0.870 0.750 0.752
0.127 0.250 0.916
0.370 0.750 0.749
0.377 0.750 0.416
0.623 0.250 0.584
0.630 0.250 0.251
0.873 0.750 0.084
0.128 0.250 0.582
0.382 0.750 0.082
0.618 0.250 0.918
0.872 0.750 0.418


# 6
In4PdPt7 (GGA-PBE, optimized geometry); total energy = -5.0540 eV/atom; E_form = -0.185 eV per atom; total moment = 0.001 μB/f.u.
1.0
5.490 -2.479 0.000
5.490 2.479 0.000
-5.056 0.000 8.353
In Pd Pt
4 1 7
Direct
0.089 0.089 0.276
0.251 0.251 0.833
0.749 0.749 0.167
0.911 0.911 0.724
0.500 0.500 0.500
0.000 0.000 0.500
0.136 0.136 0.026
0.293 0.293 0.588
0.424 0.424 0.180
0.576 0.576 0.820
0.707 0.707 0.412
0.864 0.864 0.974


# 7
InPd2Pt9 (GGA-PBE, optimized geometry); total energy = -5.7623 eV/atom; E_form = -0.138 eV per atom; total moment = 0.003 μB/f.u.
1.0
3.982 0.000 0.000
0.000 3.982 0.000
0.000 0.000 12.029
In Pd Pt
1 2 9
Direct
0.000 0.000 0.000
0.000 0.000 0.337
0.000 0.000 0.663
0.000 0.500 0.171
0.000 0.500 0.500
0.000 0.500 0.829
0.500 0.000 0.171
0.500 0.000 0.500
0.500 0.000 0.829
0.500 0.500 0.000
0.500 0.500 0.335
0.500 0.500 0.665


# 8
In6Pd12Pt (GGA-PBE, optimized geometry); total energy = -4.8532 eV/atom; E_form = -0.391 eV per atom; total moment = 0.000 μB/f.u.
1.0
5.991 3.459 2.732
-5.991 3.459 2.732
0.000 -6.918 2.732
In Pd Pt
6 12 1
Direct
0.053 0.404 0.294
0.294 0.053 0.404
0.404 0.294 0.053
0.596 0.706 0.947
0.706 0.947 0.596
0.947 0.596 0.706
0.008 0.315 0.899
0.101 0.992 0.685
0.218 0.387 0.670
0.315 0.899 0.008
0.330 0.782 0.613
0.387 0.670 0.218
0.613 0.330 0.782
0.670 0.218 0.387
0.685 0.101 0.992
0.782 0.613 0.330
0.899 0.008 0.315
0.992 0.685 0.101
0.500 0.500 0.500


# 9
InPdPt6 (GGA-PBE, optimized geometry); total energy = -5.2303 eV/atom; E_form = 0.292 eV per atom; total moment = 0.000 μB/f.u.; polymorph energy (0 for the lowest one) = 3.833 eV/f.u.
1.0
2.629 1.518 7.230
-2.629 1.518 7.230
0.000 -3.036 7.230
In Pd Pt
1 1 6
Direct
0.000 0.000 0.000
0.500 0.500 0.500
0.063 0.063 0.560
0.063 0.560 0.063
0.440 0.937 0.937
0.560 0.063 0.063
0.937 0.440 0.937
0.937 0.937 0.440


# 10
In2Pd8Pt3 (GGA-PBE, optimized geometry); total energy = -5.0903 eV/atom; E_form = -0.079 eV per atom; total moment = 0.000 μB/f.u.; polymorph energy (0 for the lowest one) = 0.388 eV/f.u.
1.0
3.410 -7.503 0.000
3.410 7.503 0.000
0.000 0.000 4.424
In Pd Pt
2 8 3
Direct
0.228 0.772 0.000
0.772 0.228 0.000
0.124 0.876 0.500
0.191 0.409 0.000
0.334 0.666 0.500
0.409 0.191 0.000
0.591 0.809 0.000
0.666 0.334 0.500
0.809 0.591 0.000
0.876 0.124 0.500
0.000 0.000 0.000
0.303 0.303 0.500
0.697 0.697 0.500


# 11
In2PdPt3 (GGA-PBE, optimized geometry); total energy = -4.9920 eV/atom; E_form = -0.193 eV per atom; total moment = 0.000 μB/f.u.; polymorph energy (0 for the lowest one) = 0.457 eV/f.u.
1.0
0.000 6.207 6.218
5.842 0.000 6.218
5.842 6.207 0.000
In Pd Pt
8 4 12
Direct
0.176 0.767 0.767
0.211 0.233 0.233
0.233 0.211 0.824
0.233 0.824 0.211
0.767 0.176 0.789
0.767 0.789 0.176
0.789 0.767 0.767
0.824 0.233 0.233
0.258 0.492 0.492
0.492 0.258 0.258
0.508 0.742 0.742
0.742 0.508 0.508
0.000 0.000 0.000
0.000 0.000 0.500
0.000 0.500 0.000
0.155 0.155 0.595
0.155 0.595 0.155
0.405 0.405 0.845
0.405 0.845 0.405
0.500 0.000 0.000
0.595 0.155 0.595
0.595 0.595 0.155
0.845 0.405 0.845
0.845 0.845 0.405


# 12
In2RePdPt (GGA-PBE, optimized geometry); total energy = -4.5391 eV/atom; E_form = 1.293 eV per atom; total moment = 3.539 μB/f.u.
1.0
4.878 0.000 0.000
0.000 4.878 0.000
0.000 0.000 5.056
In Re Pd Pt
2 1 1 1
Direct
0.000 0.500 0.000
0.500 0.000 0.000
0.000 0.000 0.500
0.500 0.500 0.000
0.500 0.500 0.500


Question: Which formula does entry 7 have?
Answer: InPd2Pt9


Question: Which of these has the highest E_form?
Answer: In2RePdPt


Question: Which of these has the highest total energy?
Answer: In2RePdPt